[1]
Below is a relaxed Pm8YHo2 crystal, with properties calculated at the GGA-PBE level.

```
11
Lattice="8.404 -3.391 0.000 8.404 3.391 0.000 -1.166 0.000 6.601" Properties=species:S:1:pos:R:3 pbc="T T T"
Pm 0.497 0.000 6.020
Pm 6.233 1.778 3.915
Pm 3.503 0.000 4.505
Pm 9.410 1.778 2.686
Pm 6.233 -1.778 3.915
Pm 12.140 0.000 2.096
Pm 9.410 -1.778 2.686
Pm 15.146 0.000 0.581
Y 8.404 0.000 0.000
Ho 4.834 0.000 1.280
Ho 10.809 0.000 5.321
```

The calculation puts the energy of formation from the pure elements at 166.8 meV per atom. The calculation puts the total energy at -4.71 eV per atom.

=====

[2]
Below is a relaxed Pm15YHo4 crystal, with properties calculated at the GGA-PBE level.

```
20
Lattice="5.128 0.000 0.000 0.000 5.128 0.000 0.000 0.000 25.544" Properties=species:S:1:pos:R:3 pbc="T T T"
Pm 0.000 0.000 0.000
Pm 0.000 0.000 5.115
Pm 0.000 0.000 10.219
Pm 0.000 0.000 15.325
Pm 0.000 0.000 20.429
Pm 0.000 2.564 2.567
Pm 0.000 2.564 7.666
Pm 0.000 2.564 12.772
Pm 0.000 2.564 17.878
Pm 0.000 2.564 22.977
Pm 2.564 0.000 2.567
Pm 2.564 0.000 7.666
Pm 2.564 0.000 12.772
Pm 2.564 0.000 17.878
Pm 2.564 0.000 22.977
Y 2.564 2.564 0.000
Ho 2.564 2.564 5.113
Ho 2.564 2.564 10.219
Ho 2.564 2.564 15.326
Ho 2.564 2.564 20.431
```

The calculation puts the energy of formation from the pure elements at 12.8 meV per atom. The calculation puts the total energy at -4.79 eV per atom.

=====

[3]
Below is a relaxed Pm2Y7Ho3 crystal, with properties calculated at the GGA-PBE level.

```
12
Lattice="5.804 0.000 0.000 0.000 3.600 0.000 -1.189 0.000 18.705" Properties=species:S:1:pos:R:3 pbc="T T T"
Pm 0.836 0.000 5.510
Pm 3.779 0.000 13.195
Y 0.869 1.800 2.663
Y 0.853 0.000 8.649
Y 0.865 0.000 15.385
Y 2.902 1.800 0.000
Y 3.750 0.000 3.320
Y 3.762 0.000 10.056
Y 3.746 1.800 16.042
Ho 0.000 0.000 0.000
Ho 0.878 1.800 11.810
Ho 3.738 1.800 6.895
```

The calculation puts the energy of formation from the pure elements at 88.6 meV per atom. The calculation puts the total energy at -5.62 eV per atom.

=====

[4]
Below is a relaxed PmY2Ho crystal, with properties calculated at the GGA-PBE level.

```
4
Lattice="1.801 1.040 11.574 -1.801 1.040 11.574 0.000 -2.080 11.574" Properties=species:S:1:pos:R:3 pbc="T T T"
Pm 0.000 0.000 0.000
Y 0.000 0.000 20.195
Y 0.000 0.000 26.063
Ho 0.000 0.000 5.762
```

The calculation puts the energy of formation from the pure elements at 16.4 meV per atom. The calculation puts the total energy at -5.55 eV per atom.

=====

[5]
Below is a relaxed Pm2YHo7 crystal, with properties calculated at the GGA-PBE level.

```
10
Lattice="5.499 0.000 0.000 -0.013 8.437 0.000 -2.743 -4.206 7.174" Properties=species:S:1:pos:R:3 pbc="T T T"
Pm 0.000 -0.287 3.293
Pm 2.743 4.518 3.882
Y 0.000 0.000 0.000
Ho -0.006 4.585 1.890
Ho -0.008 2.537 5.063
Ho 0.006 -2.762 5.563
Ho 2.743 4.219 0.000
Ho 2.737 6.994 1.611
Ho 2.751 1.694 2.111
Ho 2.750 -0.354 5.284
```

The calculation puts the energy of formation from the pure elements at 238.4 meV per atom. The calculation puts the total energy at -4.56 eV per atom.

=====

[6]
Below is a relaxed PmY2Ho crystal, with properties calculated at the GGA-PBE level.

```
4
Lattice="3.120 -1.803 0.000 3.120 1.803 0.000 -2.065 0.000 11.572" Properties=species:S:1:pos:R:3 pbc="T T T"
Pm 0.000 0.000 0.000
Y 0.010 0.000 5.794
Y 4.165 0.000 2.916
Ho 2.094 0.000 8.653
```

The calculation puts the energy of formation from the pure elements at 16.1 meV per atom. The calculation puts the total energy at -5.55 eV per atom.

=====

[7]
Below is a relaxed PmY7Ho5 crystal, with properties calculated at the GGA-PBE level.

```
13
Lattice="-3.341 5.576 5.799 3.341 -5.576 5.799 3.341 5.576 -5.799" Properties=species:S:1:pos:R:3 pbc="T T T"
Pm 0.000 0.000 0.000
Y 3.341 1.885 -0.666
Y 3.341 0.000 2.271
Y 3.341 -1.928 5.142
Y 0.000 0.000 4.488
Y 3.341 1.928 5.142
Y 0.000 0.000 8.084
Y 0.000 3.691 5.134
Ho 1.558 2.553 2.259
Ho 5.124 2.553 2.259
Ho 0.000 5.576 2.194
Ho -1.783 3.023 8.058
Ho 1.783 3.023 8.058
```

The calculation puts the energy of formation from the pure elements at 240.8 meV per atom. The calculation puts the total energy at -5.37 eV per atom.

=====

[8]
Below is a relaxed PmY7Ho2 crystal, with properties calculated at the GGA-PBE level.

```
10
Lattice="4.416 -7.951 0.000 4.416 7.951 0.000 0.000 0.000 5.666" Properties=species:S:1:pos:R:3 pbc="T T T"
Pm 0.000 0.000 0.000
Y 1.569 1.859 2.833
Y 4.416 4.396 0.000
Y 1.569 -1.859 2.833
Y 4.416 0.000 2.833
Y 7.264 1.859 2.833
Y 4.416 -4.396 0.000
Y 7.264 -1.859 2.833
Ho 4.416 3.234 2.833
Ho 4.416 -3.234 2.833
```

The calculation puts the energy of formation from the pure elements at 696.0 meV per atom. The calculation puts the total energy at -5.22 eV per atom.

=====

[9]
Below is a relaxed Pm6Y2Ho5 crystal, with properties calculated at the GGA-PBE level.

```
26
Lattice="11.722 0.000 0.000 0.000 20.470 0.000 0.000 0.000 3.615" Properties=species:S:1:pos:R:3 pbc="T T T"
Pm 0.691 1.634 0.000
Pm 0.959 7.501 0.000
Pm 2.036 12.952 1.808
Pm 3.825 2.717 1.808
Pm 4.902 17.736 0.000
Pm 5.170 11.869 0.000
Pm 6.552 8.601 0.000
Pm 6.820 2.734 0.000
Pm 7.897 17.753 1.808
Pm 9.685 7.518 1.808
Pm 10.763 12.969 0.000
Pm 11.030 18.836 0.000
Y 1.936 16.146 0.000
Y 3.925 5.911 0.000
Y 7.797 14.558 0.000
Y 9.786 4.323 0.000
Ho 0.000 10.235 1.808
Ho 1.105 4.611 1.808
Ho 2.336 19.352 1.808
Ho 3.525 9.117 1.808
Ho 4.756 14.846 1.808
Ho 5.861 0.000 1.808
Ho 6.966 5.624 1.808
Ho 8.197 11.353 1.808
Ho 9.386 1.118 1.808
Ho 10.617 15.859 1.808
```

The calculation puts the energy of formation from the pure elements at 99.1 meV per atom. The calculation puts the total energy at -4.85 eV per atom.

=====

[10]
Below is a relaxed Pm3Y5Ho2 crystal, with properties calculated at the GGA-PBE level.

```
20
Lattice="-5.518 8.938 3.416 5.518 -8.938 3.416 5.518 8.938 -3.416" Properties=species:S:1:pos:R:3 pbc="T T T"
Pm 7.807 3.016 0.000
Pm 0.000 0.000 1.708
Pm 2.288 5.921 0.000
Pm 3.230 3.016 3.416
Pm 0.000 0.000 5.125
Pm -2.288 5.921 3.416
Y 5.518 5.701 -1.708
Y 4.342 3.032 0.000
Y 5.518 0.000 1.708
Y 4.342 -3.032 3.416
Y 0.000 3.237 1.708
Y 5.518 5.701 1.708
Y 1.177 11.969 0.000
Y 0.000 8.938 1.708
Y 1.177 5.906 3.416
Y 0.000 3.237 5.125
Ho 2.599 0.422 0.000
Ho 2.599 -0.422 3.416
Ho 2.920 9.359 0.000
Ho 2.920 8.516 3.416
```

The calculation puts the energy of formation from the pure elements at 262.6 meV per atom. The calculation puts the total energy at -5.31 eV per atom.

=====

- The highest energy of formation from the pure elements belongs to which entry?
  PmY7Ho2

=====

- Among the records above, which one has the highest energy of formation from the pure elements?
  PmY7Ho2

=====

- energy of formation from the pure elements of number 1 (Pm8YHo2)?
  166.8 meV per atom

=====

- Among the records above, which one has the lowest energy of formation from the pure elements?
  Pm15YHo4